Here is a relaxed Pu2ThTcN4 crystal from the Alexandria database. Energies are from PBE.

It has space group Cmcm (No. 63), with a = 3.378 Å, b = 11.869 Å, c = 11.598 Å, α = 90.00°, β = 90.00° and γ = 90.00°. The distinct sites, in fractional coordinates, are Pu at (0.000, 0.131, 0.051), Th at (0.000, 0.387, 0.250), Tc at (0.000, 0.353, 0.750), N at (0.000, 0.039, 0.250), N at (0.000, 0.227, 0.625) and N at (0.000, 0.500, 0.000).

The value obtained for the formation energy from raw total energies is -1.025 eV/atom.


Here is a relaxed YAgO3 crystal from the Alexandria database. Energies are from PBE.

It has space group Pm-3m (No. 221), with a = 4.016 Å, b = 4.016 Å, c = 4.016 Å, α = 90.00°, β = 90.00° and γ = 90.00°. The distinct sites, in fractional coordinates, are Y at (0.000, 0.000, 0.000), Ag at (0.500, 0.500, 0.500) and O at (0.000, 0.500, 0.500).

The value obtained for the formation energy from raw total energies is -1.161 eV/atom.


Here is a relaxed PaCoH3 crystal from the Alexandria database. Energies are from PBE.

It has space group P2_1/m (No. 11), with a = 4.158 Å, b = 4.936 Å, c = 4.574 Å, α = 90.00°, β = 99.78° and γ = 90.00°. The distinct sites, in fractional coordinates, are Pa at (0.217, 0.250, 0.283), Co at (0.387, 0.750, 0.129), H at (0.213, 0.750, 0.426) and H at (0.301, 0.501, 0.814).

Its energy above the most stable polymorph in this dataset is 55 meV per atom.


Here is a relaxed AlTlRu2 crystal from the Alexandria database. Energies are from PBE.

It has space group C2/m (No. 12), with a = 8.452 Å, b = 2.998 Å, c = 5.389 Å, α = 90.00°, β = 102.37° and γ = 90.00°. The distinct sites, in fractional coordinates, are Al at (0.000, 0.000, 0.000), Tl at (0.000, 0.500, 0.500) and Ru at (0.235, 0.500, 0.201).

Its energy above the most stable polymorph in this dataset is 96 meV per atom. The value obtained for the energy of formation from the pure elements is 0.138 eV/atom.


Here is a relaxed CrAgW2 crystal from the Alexandria database. Energies are from PBE.

It has space group Pmmm (No. 47), with a = 2.639 Å, b = 4.209 Å, c = 5.558 Å, α = 90.00°, β = 90.00° and γ = 90.00°. The distinct sites, in fractional coordinates, are Cr at (0.000, 0.000, 0.000), Ag at (0.000, 0.000, 0.500) and W at (0.500, 0.500, 0.236).

Its energy above the most stable polymorph in this dataset is 206 meV per atom. The value obtained for the energy of formation from the pure elements is 0.592 eV/atom.


Here is a relaxed InCu2Tc crystal from the Alexandria database. Energies are from PBE.

It has space group P4/mmm (No. 123), with a = 3.940 Å, b = 3.940 Å, c = 3.830 Å, α = 90.00°, β = 90.00° and γ = 90.00°. The distinct sites, in fractional coordinates, are In at (0.000, 0.000, 0.000), Cu at (0.000, 0.500, 0.500) and Tc at (0.500, 0.500, 0.000).

The value obtained for the energy of formation from the pure elements is 0.205 eV/atom.


Which formula does entry 5 have?
CrAgW2